[1]
The following is a PBE calculation of a relaxed Np2UTe5 crystal, from Alexandria via LeMat-Bulk.

Results
For the total magnetization, the calculation gives 9.998 μB/f.u. For the formation energy (no corrections), the calculation gives -584.3 meV/atom.

Cell lengths 8.615, 13.321, 4.325 Å; angles 90.00, 90.00, 90.00 degrees
Space group Pbam (No. 55)
One atom of each set of equivalent atoms:
Np1 0.038 0.177 0.000 [4 per cell]
U1 0.000 0.500 0.500 [2 per cell]
Te1 0.000 0.000 0.500 [2 per cell]
Te2 0.173 0.700 0.500 [4 per cell]
Te3 0.184 0.399 0.000 [4 per cell]



[2]
The following is a PBE calculation of a relaxed NpVTe3 crystal, from Alexandria via LeMat-Bulk.

Results
For the total magnetization, the calculation gives 6.425 μB/f.u. For the formation energy (no corrections), the calculation gives -463.8 meV/atom.

Cell lengths 11.843, 7.560, 6.146 Å; angles 90.00, 90.00, 90.00 degrees
Space group Pbcm (No. 57)
One atom of each set of equivalent atoms:
Np1 0.165 0.058 0.250 [4 per cell]
V1 0.422 0.250 0.000 [4 per cell]
Te1 0.037 0.750 0.000 [4 per cell]
Te2 0.257 0.067 0.750 [4 per cell]
Te3 0.416 0.574 0.750 [4 per cell]



[3]
The following is a PBE calculation of a relaxed YNpTe2 crystal, from Alexandria via LeMat-Bulk.

Results
For the total magnetization, the calculation gives 4.300 μB/f.u. For the formation energy (no corrections), the calculation gives -411.8 meV/atom.

Cell lengths 4.1738, 4.1738, 29.4472 Å; angles 90.00, 90.00, 120.00 degrees
Space group R-3m (No. 166, hexagonal axes)
One atom of each set of equivalent atoms:
Y1 0.0000 0.0000 0.0000 [3 per cell]
Np1 0.0000 0.0000 0.5000 [3 per cell]
Te1 0.0000 0.0000 0.1013 [6 per cell]



[4]
The following is a PBE calculation of a relaxed YNpTe2 crystal, from Alexandria via LeMat-Bulk.

Results
For the total magnetization, the calculation gives 5.478 μB/f.u. For the formation energy (no corrections), the calculation gives -848.8 meV/atom.

Cell lengths 3.769, 3.769, 7.625 Å; angles 90.00, 90.00, 90.00 degrees
Space group P4/mmm (No. 123)
One atom of each set of equivalent atoms:
Y1 0.000 0.000 0.000 [1 per cell]
Np1 0.000 0.000 0.500 [1 per cell]
Te1 0.500 0.500 0.248 [2 per cell]



Look up the total magnetization of the second one.
6.425 μB/f.u.